Arrangement one

## Li2Ga3Sn (PBE)

Data for crystalline Li2Ga3Sn at its relaxed geometry.

```
data_Li2Ga3Sn
_space_group_name_H-M_alt 'F m m m'
_space_group_IT_number 69
_space_group_name_Hall '-F 2 2'
_cell_length_a 6.282
_cell_length_b 8.915
_cell_length_c 16.454
_cell_angle_alpha 90.00
_cell_angle_beta 90.00
_cell_angle_gamma 90.00
loop_
_atom_site_label
_atom_site_type_symbol
_atom_site_fract_x
_atom_site_fract_y
_atom_site_fract_z
Li1 Li 0.247 0.000 0.000
Li2 Li 0.250 0.250 0.250
Ga1 Ga 0.000 0.000 0.338
Ga2 Ga 0.000 0.241 0.423
Sn1 Sn 0.000 0.000 0.168
```

Arrangement two

## Li2Ga3Sn (PBE)

Data for crystalline Li2Ga3Sn at its relaxed geometry.

```
data_Li2Ga3Sn
_space_group_name_H-M_alt 'P -1'
_space_group_IT_number 2
_cell_length_a 5.562
_cell_length_b 6.163
_cell_length_c 7.511
_cell_angle_alpha 105.13
_cell_angle_beta 95.26
_cell_angle_gamma 104.50
loop_
_space_group_symop_operation_xyz
'x,y,z'
'-x,-y,-z'
loop_
_atom_site_label
_atom_site_type_symbol
_atom_site_fract_x
_atom_site_fract_y
_atom_site_fract_z
Li1 Li 0.019 0.332 0.305
Li2 Li 0.310 0.617 0.067
Ga1 Ga 0.281 0.052 0.042
Ga2 Ga 0.370 0.793 0.467
Ga3 Ga 0.451 0.568 0.697
Sn1 Sn 0.079 0.177 0.720
```

Energies relative to the most stable structure, in eV/atom: arrangement one 0.000; arrangement two 0.023.

Arrangement one

## Li2GaSn2 (PBE)

Data for crystalline Li2GaSn2 at its relaxed geometry.

```
data_Li2GaSn2
_space_group_name_H-M_alt 'C 1 2/m 1'
_space_group_IT_number 12
_cell_length_a 9.790
_cell_length_b 4.345
_cell_length_c 6.914
_cell_angle_alpha 90.00
_cell_angle_beta 134.45
_cell_angle_gamma 90.00
loop_
_space_group_symop_operation_xyz
'x,y,z'
'-x,-y,-z'
'-x,y,-z'
'x,-y,z'
'x+1/2,y+1/2,z'
'-x+1/2,-y+1/2,-z'
'-x+1/2,y+1/2,-z'
'x+1/2,-y+1/2,z'
loop_
_atom_site_label
_atom_site_type_symbol
_atom_site_fract_x
_atom_site_fract_y
_atom_site_fract_z
Li1 Li 0.097 0.000 0.303
Ga1 Ga 0.000 0.500 0.500
Sn1 Sn 0.206 0.500 0.118
```

Arrangement two

## Li2GaSn2 (PBE)

Data for crystalline Li2GaSn2 at its relaxed geometry.

```
data_Li2GaSn2
_space_group_name_H-M_alt 'I 4/m m m'
_space_group_IT_number 139
_space_group_name_Hall '-I 4 2'
_cell_length_a 4.108
_cell_length_b 4.108
_cell_length_c 13.188
_cell_angle_alpha 90.00
_cell_angle_beta 90.00
_cell_angle_gamma 90.00
loop_
_atom_site_label
_atom_site_type_symbol
_atom_site_fract_x
_atom_site_fract_y
_atom_site_fract_z
Li1 Li 0.000 0.500 0.250
Ga1 Ga 0.000 0.000 0.000
Sn1 Sn 0.000 0.000 0.396
```

Energies relative to the most stable structure, in eV/atom: arrangement one 0.000; arrangement two 0.150.

Arrangement one

## LiGa2Sn2 (PBE)

Data for crystalline LiGa2Sn2 at its relaxed geometry.

```
data_LiGa2Sn2
_space_group_name_H-M_alt 'P 4/m b m'
_space_group_IT_number 127
_space_group_name_Hall '-P 4 2ab'
_cell_length_a 7.963
_cell_length_b 7.963
_cell_length_c 3.678
_cell_angle_alpha 90.00
_cell_angle_beta 90.00
_cell_angle_gamma 90.00
loop_
_atom_site_label
_atom_site_type_symbol
_atom_site_fract_x
_atom_site_fract_y
_atom_site_fract_z
Li1 Li 0.000 0.000 0.000
Ga1 Ga 0.148 0.352 0.500
Sn1 Sn 0.150 0.650 0.000
```

Arrangement two

## LiGa2Sn2 (PBE)

Data for crystalline LiGa2Sn2 at its relaxed geometry.

```
data_LiGa2Sn2
_space_group_name_H-M_alt 'I 4/m m m'
_space_group_IT_number 139
_space_group_name_Hall '-I 4 2'
_cell_length_a 4.782
_cell_length_b 4.782
_cell_length_c 11.104
_cell_angle_alpha 90.00
_cell_angle_beta 90.00
_cell_angle_gamma 90.00
loop_
_atom_site_label
_atom_site_type_symbol
_atom_site_fract_x
_atom_site_fract_y
_atom_site_fract_z
Li1 Li 0.000 0.000 0.000
Ga1 Ga 0.000 0.000 0.390
Sn1 Sn 0.000 0.500 0.250
```

Arrangement three

## LiGa2Sn2 (PBE)

Data for crystalline LiGa2Sn2 at its relaxed geometry.

```
data_LiGa2Sn2
_space_group_name_H-M_alt 'I 4/m m m'
_space_group_IT_number 139
_space_group_name_Hall '-I 4 2'
_cell_length_a 4.806
_cell_length_b 4.806
_cell_length_c 11.422
_cell_angle_alpha 90.00
_cell_angle_beta 90.00
_cell_angle_gamma 90.00
loop_
_atom_site_label
_atom_site_type_symbol
_atom_site_fract_x
_atom_site_fract_y
_atom_site_fract_z
Li1 Li 0.000 0.000 0.000
Ga1 Ga 0.000 0.500 0.250
Sn1 Sn 0.000 0.000 0.376
```

Arrangement four

## LiGa2Sn2 (PBE)

Data for crystalline LiGa2Sn2 at its relaxed geometry.

```
data_LiGa2Sn2
_space_group_name_H-M_alt 'P 4/m b m'
_space_group_IT_number 127
_space_group_name_Hall '-P 4 2ab'
_cell_length_a 7.332
_cell_length_b 7.332
_cell_length_c 4.155
_cell_angle_alpha 90.00
_cell_angle_beta 90.00
_cell_angle_gamma 90.00
loop_
_atom_site_label
_atom_site_type_symbol
_atom_site_fract_x
_atom_site_fract_y
_atom_site_fract_z
Li1 Li 0.000 0.000 0.000
Ga1 Ga 0.127 0.373 0.000
Sn1 Sn 0.179 0.679 0.500
```

Energies relative to the most stable structure, in eV/atom: arrangement one 0.036; arrangement two 0.052; arrangement three 0.074; arrangement four 0.000.

Arrangement one

## Li2Ga2Sn (PBE)

Data for crystalline Li2Ga2Sn at its relaxed geometry.

```
data_Li2Ga2Sn
_space_group_name_H-M_alt 'P 4/m b m'
_space_group_IT_number 127
_space_group_name_Hall '-P 4 2ab'
_cell_length_a 7.749
_cell_length_b 7.749
_cell_length_c 3.077
_cell_angle_alpha 90.00
_cell_angle_beta 90.00
_cell_angle_gamma 90.00
loop_
_atom_site_label
_atom_site_type_symbol
_atom_site_fract_x
_atom_site_fract_y
_atom_site_fract_z
Li1 Li 0.180 0.320 0.000
Ga1 Ga 0.117 0.617 0.500
Sn1 Sn 0.000 0.000 0.500
```

Arrangement two

## Li2Ga2Sn (PBE)

Data for crystalline Li2Ga2Sn at its relaxed geometry.

```
data_Li2Ga2Sn
_space_group_name_H-M_alt 'C 1 2/c 1'
_space_group_IT_number 15
_cell_length_a 9.926
_cell_length_b 5.360
_cell_length_c 7.779
_cell_angle_alpha 90.00
_cell_angle_beta 114.37
_cell_angle_gamma 90.00
loop_
_space_group_symop_operation_xyz
'x,y,z'
'-x,-y,-z'
'-x,y,-z+1/2'
'x,-y,z+1/2'
'x+1/2,y+1/2,z'
'-x+1/2,-y+1/2,-z'
'-x+1/2,y+1/2,-z+1/2'
'x+1/2,-y+1/2,z+1/2'
loop_
_atom_site_label
_atom_site_type_symbol
_atom_site_fract_x
_atom_site_fract_y
_atom_site_fract_z
Li1 Li 0.195 0.152 0.146
Ga1 Ga 0.106 0.322 0.447
Sn1 Sn 0.000 0.194 0.750
```

Arrangement three

## Li2Ga2Sn (PBE)

Data for crystalline Li2Ga2Sn at its relaxed geometry.

```
data_Li2Ga2Sn
_space_group_name_H-M_alt 'P 4/m b m'
_space_group_IT_number 127
_space_group_name_Hall '-P 4 2ab'
_cell_length_a 7.584
_cell_length_b 7.584
_cell_length_c 3.268
_cell_angle_alpha 90.00
_cell_angle_beta 90.00
_cell_angle_gamma 90.00
loop_
_atom_site_label
_atom_site_type_symbol
_atom_site_fract_x
_atom_site_fract_y
_atom_site_fract_z
Li1 Li 0.133 0.367 0.000
Ga1 Ga 0.164 0.664 0.500
Sn1 Sn 0.000 0.000 0.000
```

Arrangement four

## Li2Ga2Sn (PBE)

Data for crystalline Li2Ga2Sn at its relaxed geometry.

```
data_Li2Ga2Sn
_space_group_name_H-M_alt 'C 1 2/m 1'
_space_group_IT_number 12
_cell_length_a 10.342
_cell_length_b 4.552
_cell_length_c 8.577
_cell_angle_alpha 90.00
_cell_angle_beta 106.73
_cell_angle_gamma 90.00
loop_
_space_group_symop_operation_xyz
'x,y,z'
'-x,-y,-z'
'-x,y,-z'
'x,-y,z'
'x+1/2,y+1/2,z'
'-x+1/2,-y+1/2,-z'
'-x+1/2,y+1/2,-z'
'x+1/2,-y+1/2,z'
loop_
_atom_site_label
_atom_site_type_symbol
_atom_site_fract_x
_atom_site_fract_y
_atom_site_fract_z
Li1 Li 0.070 0.000 0.353
Li2 Li 0.154 0.000 0.041
Ga1 Ga 0.031 0.500 0.857
Ga2 Ga 0.132 0.500 0.548
Sn1 Sn 0.233 0.000 0.735
```

Energies relative to the most stable structure, in eV/atom: arrangement one 0.013; arrangement two 0.000; arrangement three 0.086; arrangement four 0.023.

Arrangement one

## Li4Ga2Sn (PBE)

Data for crystalline Li4Ga2Sn at its relaxed geometry.

```
data_Li4Ga2Sn
_space_group_name_H-M_alt 'I 4/m m m'
_space_group_IT_number 139
_space_group_name_Hall '-I 4 2'
_cell_length_a 5.055
_cell_length_b 5.055
_cell_length_c 13.530
_cell_angle_alpha 90.00
_cell_angle_beta 90.00
_cell_angle_gamma 90.00
loop_
_atom_site_label
_atom_site_type_symbol
_atom_site_fract_x
_atom_site_fract_y
_atom_site_fract_z
Li1 Li 0.000 0.000 0.203
Li2 Li 0.000 0.500 0.000
Ga1 Ga 0.000 0.000 0.401
Sn1 Sn 0.000 0.000 0.000
```

Arrangement two

## Li4Ga2Sn (PBE)

Data for crystalline Li4Ga2Sn at its relaxed geometry.

```
data_Li4Ga2Sn
_space_group_name_H-M_alt 'C m m m'
_space_group_IT_number 65
_space_group_name_Hall '-C 2 2'
_cell_length_a 5.113
_cell_length_b 10.493
_cell_length_c 5.059
_cell_angle_alpha 90.00
_cell_angle_beta 90.00
_cell_angle_gamma 90.00
loop_
_atom_site_label
_atom_site_type_symbol
_atom_site_fract_x
_atom_site_fract_y
_atom_site_fract_z
Li1 Li 0.000 0.139 0.000
Li2 Li 0.000 0.307 0.500
Ga1 Ga 0.000 0.385 0.000
Sn1 Sn 0.000 0.000 0.500
```

Arrangement three

## Li4Ga2Sn (PBE)

Data for crystalline Li4Ga2Sn at its relaxed geometry.

```
data_Li4Ga2Sn
_space_group_name_H-M_alt 'C 1 2/m 1'
_space_group_IT_number 12
_cell_length_a 7.612
_cell_length_b 4.399
_cell_length_c 8.208
_cell_angle_alpha 90.00
_cell_angle_beta 90.12
_cell_angle_gamma 90.00
loop_
_space_group_symop_operation_xyz
'x,y,z'
'-x,-y,-z'
'-x,y,-z'
'x,-y,z'
'x+1/2,y+1/2,z'
'-x+1/2,-y+1/2,-z'
'-x+1/2,y+1/2,-z'
'x+1/2,-y+1/2,z'
loop_
_atom_site_label
_atom_site_type_symbol
_atom_site_fract_x
_atom_site_fract_y
_atom_site_fract_z
Li1 Li 0.166 0.000 0.397
Li2 Li 0.168 0.000 0.735
Ga1 Ga 0.167 0.000 0.069
Sn1 Sn 0.000 0.500 0.500
```

Energies relative to the most stable structure, in eV/atom: arrangement one 0.156; arrangement two 0.022; arrangement three 0.000.

Arrangement one

## LiGa4Sn (PBE)

Data for crystalline LiGa4Sn at its relaxed geometry.

```
data_LiGa4Sn
_space_group_name_H-M_alt 'P 6/m m m'
_space_group_IT_number 191
_space_group_name_Hall '-P 6 2'
_cell_length_a 4.4754
_cell_length_b 4.4754
_cell_length_c 6.9408
_cell_angle_alpha 90.00
_cell_angle_beta 90.00
_cell_angle_gamma 120.00
loop_
_atom_site_label
_atom_site_type_symbol
_atom_site_fract_x
_atom_site_fract_y
_atom_site_fract_z
Li1 Li 0.0000 0.0000 0.0000
Ga1 Ga 0.3333 0.6667 0.2124
Sn1 Sn 0.0000 0.0000 0.5000
```

Arrangement two

## LiGa4Sn (PBE)

Data for crystalline LiGa4Sn at its relaxed geometry.

```
data_LiGa4Sn
_space_group_name_H-M_alt 'F -4 3 m'
_space_group_IT_number 216
_space_group_name_Hall 'F -4 2 3'
_cell_length_a 7.900
_cell_length_b 7.900
_cell_length_c 7.900
_cell_angle_alpha 90.00
_cell_angle_beta 90.00
_cell_angle_gamma 90.00
loop_
_atom_site_label
_atom_site_type_symbol
_atom_site_fract_x
_atom_site_fract_y
_atom_site_fract_z
Li1 Li 0.000 0.000 0.000
Ga1 Ga 0.126 0.126 0.626
Sn1 Sn 0.250 0.250 0.250
```

Energies relative to the most stable structure, in eV/atom: arrangement one 0.000; arrangement two 0.029.